(1)
A plane-wave DFT calculation with GGA-PBE was carried out for a relaxed structure of Sr2EuAl.

Values from the calculation:
For the volume, the calculation gives 36.74 Å³/atom. The relative energy among the computed polymorphs comes out at 78 meV/atom. For the total DFT energy (no corrections), the calculation gives -4.29 eV/atom.

a = 5.9234 Å, b = 5.9234 Å, c = 5.9234 Å
α = 60.00°, β = 60.00°, γ = 60.00°
Last column: nearest neighbours and their distance in Å.
Fractional positions:
1 Eu 0.0000 0.0000 0.0000  8 Sr 3.63
2 Sr 0.2500 0.2500 0.2500  4 Al 3.63, 4 Eu 3.63
3 Sr 0.7500 0.7500 0.7500  4 Al 3.63, 4 Eu 3.63
4 Al 0.5000 0.5000 0.5000  8 Sr 3.63

=====

(2)
A plane-wave DFT calculation with GGA-PBE was carried out for a relaxed structure of V13Ga3.

Values from the calculation:
For the volume, the calculation gives 13.62 Å³/atom. The relative energy among the computed polymorphs comes out at 0 meV/atom. For the total DFT energy (no corrections), the calculation gives -8.11 eV/atom.

a = 5.2499 Å, b = 5.2499 Å, c = 8.4955 Å
α = 90.00°, β = 90.00°, γ = 111.46°
Last column: nearest neighbours and their distance in Å.
Fractional positions:
1 V 0.9915 0.5114 0.7462  6 V 2.56-2.85, 3 Ga 2.59-2.66
2 V 0.4971 0.5029 0.7552  8 V 2.54-2.67, 1 Ga 2.78
3 V 0.4886 0.0085 0.7462  6 V 2.56-2.85, 3 Ga 2.59-2.66
4 V 0.7774 0.7280 0.0000  6 V 2.57-2.85, 4 Ga 2.57-2.68
5 V 0.2720 0.2226 0.0000  6 V 2.57-2.85, 4 Ga 2.57-2.68
6 V 0.7651 0.2349 0.0000  8 V 2.57-2.69
7 V 0.9915 0.5114 0.2538  6 V 2.56-2.85, 3 Ga 2.59-2.66
8 V 0.4971 0.5029 0.2448  8 V 2.54-2.67, 1 Ga 2.78
9 V 0.4886 0.0085 0.2538  6 V 2.56-2.85, 3 Ga 2.59-2.66
10 V 0.2387 0.7613 0.5000  8 V 2.56-2.67
11 V 0.7204 0.7299 0.5000  7 V 2.54-2.69, 2 Ga 2.62
12 V 0.2701 0.2796 0.5000  7 V 2.54-2.69, 2 Ga 2.62
13 V 0.7484 0.2516 0.5000  8 V 2.57-2.69
14 Ga 0.9849 0.0151 0.7415  9 V 2.59-2.90
15 Ga 0.2837 0.7163 0.0000  10 V 2.57-2.78
16 Ga 0.9849 0.0151 0.2585  9 V 2.59-2.90

=====

(3)
A plane-wave DFT calculation with GGA-PBE was carried out for a relaxed structure of Na3Hg4As2.

Values from the calculation:
For the volume, the calculation gives 25.49 Å³/atom. For the total DFT energy (no corrections), the calculation gives -1.85 eV/atom.

a = 4.6661 Å, b = 6.1533 Å, c = 9.1767 Å
α = 72.36°, β = 75.27°, γ = 67.72°
Last column: nearest neighbours and their distance in Å.
Fractional positions:
1 Na 0.3198 0.7217 0.6388  4 As 3.25-3.56, 7 Hg 3.26-3.49
2 Na 0.0000 0.0000 0.0000  8 Hg 3.26-3.52, 4 As 3.27
3 Na 0.6802 0.2783 0.3612  4 As 3.25-3.56, 7 Hg 3.26-3.49
4 Hg 0.2865 0.3662 0.0608  1 As 2.75, 2 Hg 2.86
5 Hg 0.7135 0.6338 0.9392  1 As 2.75, 2 Hg 2.86
6 Hg 0.0358 0.2979 0.6305  2 As 2.71, 1 Hg 2.86
7 Hg 0.9642 0.7021 0.3695  2 As 2.71, 1 Hg 2.86
8 As 0.4072 0.9213 0.2643  3 Hg 2.71-2.75
9 As 0.5928 0.0787 0.7357  3 Hg 2.71-2.75

=====

(4)
A plane-wave DFT calculation with GGA-PBE was carried out for a relaxed structure of Mg2ReRu.

Values from the calculation:
For the volume, the calculation gives 15.72 Å³/atom. The relative energy among the computed polymorphs comes out at 245 meV/atom. For the total DFT energy (no corrections), the calculation gives -5.97 eV/atom.

a = 5.2646 Å, b = 5.2646 Å, c = 2.7200 Å
α = 80.81°, β = 80.81°, γ = 118.58°
Last column: nearest neighbours and their distance in Å.
Fractional positions:
1 Mg 0.0000 0.0000 0.0000  4 Mg 2.69-2.72, 2 Re 2.76, 2 Ru 2.76
2 Mg 0.5000 0.5000 0.0000  4 Mg 2.69-2.72, 2 Ru 2.76, 2 Re 2.76
3 Re 0.5000 0.0000 0.5000  2 Ru 2.69, 2 Re 2.72, 4 Mg 2.76
4 Ru 0.0000 0.5000 0.5000  2 Re 2.69, 2 Ru 2.72, 4 Mg 2.76

=====

(5)
A plane-wave DFT calculation with GGA-PBE was carried out for a relaxed structure of SmCoGe3.

Values from the calculation:
For the volume, the calculation gives 18.22 Å³/atom. For the total DFT energy (no corrections), the calculation gives -5.70 eV/atom.

a = 4.2945 Å, b = 4.2945 Å, c = 5.7953 Å
α = 111.72°, β = 111.72°, γ = 89.99°
Last column: nearest neighbours and their distance in Å.
Fractional positions:
1 Ge 0.5965 0.0964 0.1931  2 Co 2.33
2 Ge 0.7739 0.7739 0.5474  1 Co 2.27
3 Ge 0.0964 0.5965 0.1931  2 Co 2.33
4 Co 0.0040 0.0040 0.0077  5 Ge 2.27-2.33
5 Sm 0.3371 0.3371 0.6746  12 Ge 3.10-3.34, 5 Co 3.29-3.46

=====

(6)
A plane-wave DFT calculation with GGA-PBE was carried out for a relaxed structure of Zn2P2H12O11.

Values from the calculation:
For the volume, the calculation gives 10.25 Å³/atom. For the total DFT energy (no corrections), the calculation gives -5.29 eV/atom.

a = 7.5875 Å, b = 7.6467 Å, c = 9.5527 Å
α = 89.20°, β = 89.39°, γ = 87.33°
Last column: nearest neighbours and their distance in Å.
Fractional positions:
1 Zn 0.0000 0.0000 0.0000  6 O 2.00-2.20
2 Zn 0.5021 0.0008 0.2515  4 O 1.98-2.05
3 Zn 0.4979 0.9992 0.7485  4 O 1.98-2.05
4 Zn 0.5000 0.5000 0.5000  6 O 2.04-2.18
5 P 0.3709 0.2234 0.0122  1 H 1.41, 3 O 1.52-1.57
6 P 0.6291 0.7766 0.9878  1 H 1.41, 3 O 1.52-1.57
7 P 0.7282 0.1100 0.4867  1 H 1.41, 3 O 1.52-1.57
8 P 0.2718 0.8900 0.5133  1 H 1.41, 3 O 1.52-1.57
9 H 0.9006 0.1715 0.4759  1 P 1.41
10 H 0.0994 0.8285 0.5241  1 P 1.41
11 H 0.2887 0.3927 0.0172  1 P 1.41
12 H 0.7113 0.6073 0.9828  1 P 1.41
13 H 0.7456 0.2400 0.0987  1 O 0.99
14 H 0.2544 0.7600 0.9013  1 O 0.99
15 H 0.9254 0.3228 0.1470  1 O 0.99
16 H 0.0746 0.6772 0.8530  1 O 0.99
17 H 0.1104 0.9065 0.2555  1 O 1.00
18 H 0.8896 0.0935 0.7445  1 O 1.00
19 H 0.9018 0.9084 0.2646  1 O 1.00
20 H 0.0982 0.0916 0.7354  1 O 1.00
21 H 0.8403 0.5589 0.3949  1 O 1.00
22 H 0.1597 0.4411 0.6051  1 O 1.00
23 H 0.7412 0.7357 0.4421  1 O 0.99
24 H 0.2588 0.2643 0.5579  1 O 0.99
25 H 0.4612 0.4098 0.2402  1 O 0.99
26 H 0.5388 0.5902 0.7598  1 O 0.99
27 H 0.4634 0.6170 0.2277  1 O 1.00
28 H 0.5366 0.3830 0.7723  1 O 1.00
29 H 0.1168 0.4701 0.3133  1 O 0.98
30 H 0.8832 0.5299 0.6867  1 O 0.98
31 H 0.0179 0.6169 0.2249  1 O 0.99
32 H 0.9821 0.3831 0.7751  1 O 0.99
33 O 0.8745 0.2395 0.0823  2 H 0.99
34 O 0.1255 0.7605 0.9177  2 H 0.99
35 O 0.2393 0.0845 0.0437  1 P 1.52
36 O 0.7607 0.9155 0.9563  1 P 1.52
37 O 0.0043 0.8667 0.2062  2 H 1.00
38 O 0.9957 0.1333 0.7938  2 H 1.00
39 O 0.7188 0.9622 0.3757  1 P 1.57
40 O 0.2812 0.0378 0.6243  1 P 1.57
41 O 0.5107 0.2185 0.1324  1 P 1.57
42 O 0.4893 0.7815 0.8676  1 P 1.57
43 O 0.2842 0.9626 0.3617  1 P 1.55
44 O 0.7158 0.0374 0.6383  1 P 1.55
45 O 0.4577 0.2122 0.8655  1 P 1.54, 1 H 1.70
46 O 0.5423 0.7878 0.1345  1 P 1.54, 1 H 1.70
47 O 0.7580 0.6100 0.4670  2 H 0.99-1.00
48 O 0.2420 0.3900 0.5330  2 H 0.99-1.00
49 O 0.4183 0.5193 0.2862  2 H 0.99-1.00
50 O 0.5817 0.4807 0.7138  2 H 0.99-1.00
51 O 0.5927 0.2547 0.4492  1 P 1.52
52 O 0.4073 0.7453 0.5508  1 P 1.52
53 O 0.0044 0.4982 0.2658  2 H 0.98-0.99
54 O 0.9956 0.5018 0.7342  2 H 0.98-0.99

=====

(7)
A plane-wave DFT calculation with GGA-PBE was carried out for a relaxed structure of As2RuSe.

Values from the calculation:
For the volume, the calculation gives 20.17 Å³/atom. The calculation puts the formation energy (no corrections) at -0.02 eV/atom. For the total DFT energy (no corrections), the calculation gives -5.54 eV/atom.

a = 3.9584 Å, b = 4.9528 Å, c = 4.9532 Å
α = 56.18°, β = 90.00°, γ = 90.00°
Last column: nearest neighbours and their distance in Å.
Fractional positions:
1 Ru 0.5000 0.2500 0.2500  2 Se 2.33, 4 As 2.54
2 As 0.0000 0.0685 0.0685  2 Ru 2.54, 2 As 2.62
3 As 0.0000 0.4315 0.4315  2 Ru 2.54, 2 As 2.62
4 Se 0.5000 0.7500 0.7500  2 Ru 2.33

=====

(8)
A plane-wave DFT calculation with GGA-PBE was carried out for a relaxed structure of Sm2TmAu.

Values from the calculation:
For the volume, the calculation gives 28.70 Å³/atom. The relative energy among the computed polymorphs comes out at 0 meV/atom. For the total DFT energy (no corrections), the calculation gives -4.71 eV/atom.

a = 3.7350 Å, b = 6.4801 Å, c = 9.9072 Å
α = 90.00°, β = 90.00°, γ = 106.74°
Last column: nearest neighbours and their distance in Å.
Fractional positions:
1 Sm 0.3670 0.7352 0.5539  3 Au 3.05-3.36
2 Sm 0.6330 0.2648 0.4461  3 Au 3.05-3.36
3 Sm 0.3670 0.7352 0.9461  3 Au 3.05-3.36
4 Sm 0.6330 0.2648 0.0539  3 Au 3.05-3.36
5 Tm 0.9371 0.8741 0.2500  2 Au 3.00
6 Tm 0.0629 0.1259 0.7500  2 Au 3.00
7 Au 0.7514 0.5037 0.7500  2 Tm 3.00, 4 Sm 3.05
8 Au 0.2486 0.4963 0.2500  2 Tm 3.00, 4 Sm 3.05

=====

(9)
A plane-wave DFT calculation with GGA-PBE was carried out for a relaxed structure of SrNd2As.

Values from the calculation:
For the volume, the calculation gives 38.22 Å³/atom. For the total DFT energy (no corrections), the calculation gives -4.60 eV/atom.

a = 4.1357 Å, b = 4.1357 Å, c = 10.5943 Å
α = 78.74°, β = 78.74°, γ = 60.00°
Last column: nearest neighbours and their distance in Å.
Fractional positions:
1 Sr 0.5004 0.5004 0.4989  6 Sr 4.14, 6 Nd 4.20-4.22
2 Nd 0.0545 0.0545 0.8364  3 As 2.93
3 Nd 0.2788 0.2788 0.1636  3 As 2.92
4 As 0.6663 0.6663 0.0011  6 Nd 2.92-2.93

=====

(10)
A plane-wave DFT calculation with GGA-PBE was carried out for a relaxed structure of Pm4Nd3Er8.

Values from the calculation:
For the volume, the calculation gives 33.69 Å³/atom. For the total DFT energy (no corrections), the calculation gives -4.29 eV/atom.

a = 6.7623 Å, b = 9.3035 Å, c = 9.3035 Å
α = 87.48°, β = 111.31°, γ = 111.31°
Last column: nearest neighbours and their distance in Å.
Fractional positions:
1 Pm 0.5000 0.0000 0.0000  6 Er 3.29-3.50, 2 Pm 3.38
2 Pm 0.0000 0.5000 0.0000  4 Er 3.22-3.36, 2 Nd 3.38
3 Pm 0.0000 0.0000 0.0000  2 Pm 3.38, 4 Er 3.57-3.58
4 Pm 0.0000 0.0000 0.5000  4 Er 3.22-3.36, 2 Nd 3.38
5 Nd 0.5000 0.5000 0.0000  4 Er 3.22-3.36, 2 Pm 3.38
6 Nd 0.5000 0.0000 0.5000  4 Er 3.22-3.36, 2 Pm 3.38
7 Nd 0.5000 0.5000 0.5000  6 Er 3.14-3.23
8 Er 0.5291 0.2675 0.2675  3 Nd 3.22-3.23, 2 Er 3.24-3.53, 2 Pm 3.50-3.58
9 Er 0.0000 0.6391 0.3609  7 Er 3.58-3.64, 2 Pm 3.65, 4 Nd 3.65-3.83
10 Er 0.0071 0.2670 0.2670  4 Pm 3.22-3.57, 1 Nd 3.23, 2 Er 3.24-3.53
11 Er 0.5000 0.7443 0.2557  3 Nd 3.14-3.36, 3 Pm 3.29-3.36
12 Er 0.5000 0.2557 0.7443  3 Nd 3.14-3.36, 3 Pm 3.29-3.36
13 Er 0.9929 0.7330 0.7330  4 Pm 3.22-3.57, 1 Nd 3.23, 2 Er 3.24-3.53
14 Er 0.0000 0.3609 0.6391  7 Er 3.58-3.64, 2 Pm 3.65, 4 Nd 3.65-3.83
15 Er 0.4709 0.7325 0.7325  3 Nd 3.22-3.23, 2 Er 3.24-3.53, 2 Pm 3.50-3.58

=====

(11)
A plane-wave DFT calculation with GGA-PBE was carried out for a relaxed structure of Tb4ErTh2.

Values from the calculation:
For the volume, the calculation gives 33.53 Å³/atom. The relative energy among the computed polymorphs comes out at 181 meV/atom. For the total DFT energy (no corrections), the calculation gives -5.21 eV/atom.

a = 3.5188 Å, b = 11.8512 Å, c = 6.0416 Å
α = 111.31°, β = 90.00°, γ = 90.00°
Last column: nearest neighbours and their distance in Å.
Fractional positions:
1 Tb 0.5000 0.2439 0.3339  3 Th 3.33-3.39, 2 Er 3.36, 6 Tb 3.50-3.56
2 Tb 0.5000 0.7561 0.6661  3 Th 3.33-3.39, 2 Er 3.36, 6 Tb 3.50-3.56
3 Tb 0.0000 0.2867 0.8589  6 Tb 3.50-3.56, 4 Th 3.74-3.88, 1 Er 3.79
4 Tb 0.0000 0.7134 0.1411  6 Tb 3.50-3.56, 4 Th 3.74-3.88, 1 Er 3.79
5 Er 0.0000 0.0000 0.0001  4 Tb 3.36, 4 Th 3.49-3.50, 2 Er 3.52
6 Th 0.9999 0.5000 0.5000  4 Tb 3.33, 2 Th 3.52
7 Th 0.5000 0.9999 0.4999  6 Tb 3.39-3.74, 4 Er 3.49-3.50, 2 Th 3.52

=====

(12)
A plane-wave DFT calculation with GGA-PBE was carried out for a relaxed structure of Hf3N.

Values from the calculation:
For the volume, the calculation gives 17.31 Å³/atom. The relative energy among the computed polymorphs comes out at 66 meV/atom. The calculation puts the formation energy (no corrections) at -0.90 eV/atom. For the total DFT energy (no corrections), the calculation gives -10.45 eV/atom.

a = 4.5127 Å, b = 10.0756 Å, c = 7.1755 Å
α = 81.90°, β = 71.66°, γ = 63.39°
Last column: nearest neighbours and their distance in Å.
Fractional positions:
1 Hf 0.3553 0.1198 0.6748  1 N 2.31
2 Hf 0.0302 0.1198 0.3252  1 N 2.31
3 Hf 0.4294 0.8830 0.0000  12 Hf 3.07-3.29
4 Hf 0.6956 0.1170 0.0000  12 Hf 3.07-3.29
5 Hf 0.6035 0.3780 0.6618  4 N 2.21-2.26
6 Hf 0.5215 0.6219 0.3382  4 N 2.21-2.26
7 Hf 0.8596 0.6219 0.6618  4 N 2.21-2.26
8 Hf 0.2654 0.3780 0.3382  4 N 2.21-2.26
9 Hf 0.0948 0.8802 0.6748  1 N 2.31
10 Hf 0.7697 0.8802 0.3252  1 N 2.31
11 Hf 0.1802 0.6323 0.0000  2 N 2.30
12 Hf 0.9448 0.3677 0.0000  2 N 2.30
13 N 0.1054 0.3755 0.6631  6 Hf 2.21-2.31
14 N 0.0196 0.6245 0.3370  6 Hf 2.21-2.31
15 N 0.3565 0.6245 0.6631  6 Hf 2.21-2.31
16 N 0.7685 0.3755 0.3369  6 Hf 2.21-2.31

=====

> Which of these has the highest total DFT energy (no corrections)?

Na3Hg4As2

=====

> What is the volume in the third record?

25.49 Å³/atom

=====

Please write out number 6 again, unchanged.
A plane-wave DFT calculation with GGA-PBE was carried out for a relaxed structure of Zn2P2H12O11.

Values from the calculation:
For the volume, the calculation gives 10.25 Å³/atom. For the total DFT energy (no corrections), the calculation gives -5.29 eV/atom.

a = 7.5875 Å, b = 7.6467 Å, c = 9.5527 Å
α = 89.20°, β = 89.39°, γ = 87.33°
Last column: nearest neighbours and their distance in Å.
Fractional positions:
1 Zn 0.0000 0.0000 0.0000  6 O 2.00-2.20
2 Zn 0.5021 0.0008 0.2515  4 O 1.98-2.05
3 Zn 0.4979 0.9992 0.7485  4 O 1.98-2.05
4 Zn 0.5000 0.5000 0.5000  6 O 2.04-2.18
5 P 0.3709 0.2234 0.0122  1 H 1.41, 3 O 1.52-1.57
6 P 0.6291 0.7766 0.9878  1 H 1.41, 3 O 1.52-1.57
7 P 0.7282 0.1100 0.4867  1 H 1.41, 3 O 1.52-1.57
8 P 0.2718 0.8900 0.5133  1 H 1.41, 3 O 1.52-1.57
9 H 0.9006 0.1715 0.4759  1 P 1.41
10 H 0.0994 0.8285 0.5241  1 P 1.41
11 H 0.2887 0.3927 0.0172  1 P 1.41
12 H 0.7113 0.6073 0.9828  1 P 1.41
13 H 0.7456 0.2400 0.0987  1 O 0.99
14 H 0.2544 0.7600 0.9013  1 O 0.99
15 H 0.9254 0.3228 0.1470  1 O 0.99
16 H 0.0746 0.6772 0.8530  1 O 0.99
17 H 0.1104 0.9065 0.2555  1 O 1.00
18 H 0.8896 0.0935 0.7445  1 O 1.00
19 H 0.9018 0.9084 0.2646  1 O 1.00
20 H 0.0982 0.0916 0.7354  1 O 1.00
21 H 0.8403 0.5589 0.3949  1 O 1.00
22 H 0.1597 0.4411 0.6051  1 O 1.00
23 H 0.7412 0.7357 0.4421  1 O 0.99
24 H 0.2588 0.2643 0.5579  1 O 0.99
25 H 0.4612 0.4098 0.2402  1 O 0.99
26 H 0.5388 0.5902 0.7598  1 O 0.99
27 H 0.4634 0.6170 0.2277  1 O 1.00
28 H 0.5366 0.3830 0.7723  1 O 1.00
29 H 0.1168 0.4701 0.3133  1 O 0.98
30 H 0.8832 0.5299 0.6867  1 O 0.98
31 H 0.0179 0.6169 0.2249  1 O 0.99
32 H 0.9821 0.3831 0.7751  1 O 0.99
33 O 0.8745 0.2395 0.0823  2 H 0.99
34 O 0.1255 0.7605 0.9177  2 H 0.99
35 O 0.2393 0.0845 0.0437  1 P 1.52
36 O 0.7607 0.9155 0.9563  1 P 1.52
37 O 0.0043 0.8667 0.2062  2 H 1.00
38 O 0.9957 0.1333 0.7938  2 H 1.00
39 O 0.7188 0.9622 0.3757  1 P 1.57
40 O 0.2812 0.0378 0.6243  1 P 1.57
41 O 0.5107 0.2185 0.1324  1 P 1.57
42 O 0.4893 0.7815 0.8676  1 P 1.57
43 O 0.2842 0.9626 0.3617  1 P 1.55
44 O 0.7158 0.0374 0.6383  1 P 1.55
45 O 0.4577 0.2122 0.8655  1 P 1.54, 1 H 1.70
46 O 0.5423 0.7878 0.1345  1 P 1.54, 1 H 1.70
47 O 0.7580 0.6100 0.4670  2 H 0.99-1.00
48 O 0.2420 0.3900 0.5330  2 H 0.99-1.00
49 O 0.4183 0.5193 0.2862  2 H 0.99-1.00
50 O 0.5817 0.4807 0.7138  2 H 0.99-1.00
51 O 0.5927 0.2547 0.4492  1 P 1.52
52 O 0.4073 0.7453 0.5508  1 P 1.52
53 O 0.0044 0.4982 0.2658  2 H 0.98-0.99
54 O 0.9956 0.5018 0.7342  2 H 0.98-0.99